Au2NF (PBE, relaxed); SG = I-42d; M_tot = 0.0 μB/cell; formation energy from raw total energies = 0.47 eV per atom; Fermi-level density of states = 1.67 states/eV/cell; E above lowest polymorph = 0.000 eV/atom
1.0
-0.989 -0.584 -4.741
-1.383 -4.599 0.855
-6.846 -0.713 -0.994
N Au F
2 4 2
Direct
0.500 0.500 0.000
0.250 0.750 0.500
0.503 0.125 0.250
0.247 0.625 0.250
0.375 0.497 0.750
0.875 0.753 0.750
0.000 0.000 0.000
0.750 0.250 0.500